Run P
## Pr2Nd5Dy3 (PBE)

Data for Pr2Nd5Dy3 after structural relaxation.

- Mass density: 7077 kg/m³
- Total moment: 0.0 μB/cell

a = 9.8150 Å, b = 9.8621 Å, c = 11.2694 Å
α = 126.84°, β = 126.74°, γ = 68.16°
Fractional coordinates of all 20 atoms:
Pr 0.7858 0.0236 0.7552
Pr 0.2142 0.9764 0.2448
Pr 0.4695 0.7316 0.7552
Pr 0.5305 0.2684 0.2448
Nd 0.2817 0.5317 0.0634
Nd 0.7183 0.4683 0.9366
Nd 0.0204 0.7704 0.5408
Nd 0.5182 0.2682 0.5365
Nd 0.9796 0.2296 0.4592
Nd 0.4818 0.7318 0.4635
Nd 0.8725 0.6169 0.7640
Nd 0.1275 0.3831 0.2360
Nd 0.3915 0.1471 0.7640
Nd 0.6085 0.8529 0.2360
Dy 0.2271 0.9771 0.9543
Dy 0.7729 0.0229 0.0457
Dy 0.7315 0.4640 0.2426
Dy 0.2685 0.5360 0.7574
Dy 0.0111 0.7786 0.2426
Dy 0.9889 0.2214 0.7574

---

Run Q
## Pr2Nd5Dy3 (PBE)

Data for Pr2Nd5Dy3 after structural relaxation.

- Mass density: 6770 kg/m³
- Total moment: 0.0 μB/cell

a = 6.8990 Å, b = 12.5779 Å, c = 12.5779 Å
α = 44.54°, β = 74.08°, γ = 74.08°
Fractional coordinates of all 20 atoms:
Pr 0.1208 0.7792 0.9791
Pr 0.8792 0.2208 0.0209
Pr 0.6208 0.9791 0.7792
Pr 0.3792 0.0209 0.2208
Nd 0.2500 0.5000 0.5000
Nd 0.7500 0.5000 0.5000
Nd 0.4973 0.7527 0.7527
Nd 0.0027 0.2473 0.2473
Nd 0.5027 0.2473 0.2473
Nd 0.9973 0.7527 0.7527
Nd 0.1274 0.4650 0.2801
Nd 0.8726 0.5350 0.7199
Nd 0.6274 0.2801 0.4650
Nd 0.3726 0.7199 0.5350
Dy 0.2500 0.0000 0.0000
Dy 0.7500 0.0000 0.0000
Dy 0.3809 0.3664 0.8718
Dy 0.6191 0.6336 0.1282
Dy 0.8809 0.8718 0.3664
Dy 0.1191 0.1282 0.6336

---

The most stable arrangement is run P, and the next structure is 17.6 kJ/mol of atoms less stable.